Below is Li2TcWF after structural relaxation, with properties calculated at the PBE with a Hubbard U level.

Cell lengths 3.7350, 3.7350, 5.4437 Å; angles 90.00, 90.00, 90.00 degrees
With the nearest neighbours (Å) after each atom.
Space group P4/mmm (No. 123)
Asymmetric unit:
Li 0.0000 0.5000 0.0000 [2 per cell]  2 F 1.87
Tc 0.0000 0.0000 0.5000 [1 per cell]  4 W 2.64, 2 F 2.72
W 0.5000 0.5000 0.5000 [1 per cell]  4 Tc 2.64
F 0.0000 0.0000 0.0000 [1 per cell]  4 Li 1.87

Calculated values
For the total energy, the calculation gives -4.911 eV/atom. The density is 6882 kg/m3. For the total moment, the calculation gives 1.0 μB/cell.